No. 1
The following is a DFT calculation (PBE) of MnSb2Br after structural relaxation.

The structure in CIF format:
```
data_MnSb2Br
_cell_length_a 8.423
_cell_length_b 8.423
_cell_length_c 8.423
_cell_angle_alpha 25.43
_cell_angle_beta 25.43
_cell_angle_gamma 25.43
_space_group_name_H-M_alt 'P 1'
_space_group_IT_number 1
loop_
_space_group_symop_operation_xyz
'x,y,z'
loop_
_atom_site_label
_atom_site_type_symbol
_atom_site_fract_x
_atom_site_fract_y
_atom_site_fract_z
Mn1 Mn 0.750 0.750 0.750
Sb1 Sb 0.483 0.483 0.483
Sb2 Sb 0.017 0.017 0.017
Br1 Br 0.250 0.250 0.250
```

Summary:
total magnetic moment = 0.611 μB/atom
formation energy from raw total energies = 6 kJ/mol of atoms
symmetry = No. 166
energy = -4.71 eV per atom
relative energy among the computed polymorphs = 0.152 eV/atom

***

No. 2
The following is a DFT calculation (PBE) of MnSbBr after structural relaxation.

The structure in CIF format:
```
data_MnSbBr
_cell_length_a 3.629
_cell_length_b 3.629
_cell_length_c 7.496
_cell_angle_alpha 90.00
_cell_angle_beta 90.00
_cell_angle_gamma 120.00
_space_group_name_H-M_alt 'P 1'
_space_group_IT_number 1
loop_
_space_group_symop_operation_xyz
'x,y,z'
loop_
_atom_site_label
_atom_site_type_symbol
_atom_site_fract_x
_atom_site_fract_y
_atom_site_fract_z
Mn1 Mn 0.667 0.333 0.325
Br1 Br 0.000 0.000 0.117
Sb1 Sb 0.333 0.667 0.558
```

Summary:
total magnetic moment = 1.067 μB/atom
formation energy from raw total energies = -18 kJ/mol of atoms
symmetry = No. 156
energy = -5.18 eV per atom
relative energy among the computed polymorphs = 0.000 eV/atom

***

No. 3
The following is a DFT calculation (PBE) of Mn3SbBr9 after structural relaxation.

The structure in CIF format:
```
data_Mn3SbBr9
_cell_length_a 9.703
_cell_length_b 10.570
_cell_length_c 11.698
_cell_angle_alpha 75.11
_cell_angle_beta 65.50
_cell_angle_gamma 62.68
_space_group_name_H-M_alt 'P 1'
_space_group_IT_number 1
loop_
_space_group_symop_operation_xyz
'x,y,z'
loop_
_atom_site_label
_atom_site_type_symbol
_atom_site_fract_x
_atom_site_fract_y
_atom_site_fract_z
Br1 Br 0.789 0.991 0.728
Br2 Br 0.559 0.795 0.709
Br3 Br 0.069 0.591 0.187
Br4 Br 0.458 0.248 0.567
Br5 Br 0.493 0.491 0.228
Br6 Br 0.872 0.438 0.871
Br7 Br 0.363 0.287 0.937
Br8 Br 0.070 0.579 0.523
Br9 Br 0.268 0.905 0.097
Br10 Br 0.413 0.787 0.437
Br11 Br 0.730 0.405 0.597
Br12 Br 0.728 0.748 0.067
Br13 Br 0.819 0.938 0.371
Br14 Br 0.829 0.079 0.023
Br15 Br 0.165 0.680 0.822
Br16 Br 0.153 0.091 0.687
Br17 Br 0.937 0.295 0.209
Br18 Br 0.333 0.180 0.322
Mn1 Mn 0.962 0.058 0.176
Mn2 Mn 0.804 0.558 0.676
Mn3 Mn 0.579 0.244 0.723
Mn4 Mn 0.235 0.443 0.329
Mn5 Mn 0.993 0.943 0.829
Mn6 Mn 0.454 0.744 0.223
Sb1 Sb 0.470 0.999 0.509
Sb2 Sb 0.023 0.499 0.009
```

Summary:
total magnetic moment = 1.154 μB/atom
formation energy from raw total energies = -65 kJ/mol of atoms
symmetry = No. 9
energy = -4.26 eV per atom

***

No. 4
The following is a DFT calculation (PBE) of Mn2SbBr after structural relaxation.

The structure in CIF format:
```
data_Mn2SbBr
_cell_length_a 4.488
_cell_length_b 4.488
_cell_length_c 7.743
_cell_angle_alpha 61.97
_cell_angle_beta 61.97
_cell_angle_gamma 47.48
_space_group_name_H-M_alt 'P 1'
_space_group_IT_number 1
loop_
_space_group_symop_operation_xyz
'x,y,z'
loop_
_atom_site_label
_atom_site_type_symbol
_atom_site_fract_x
_atom_site_fract_y
_atom_site_fract_z
Sb1 Sb 0.750 0.750 0.750
Br1 Br 0.250 0.250 0.250
Mn1 Mn 0.953 0.953 0.941
Mn2 Mn 0.547 0.547 0.559
```

Summary:
total magnetic moment = 2.147 μB/atom
formation energy from raw total energies = 9 kJ/mol of atoms
symmetry = No. 12
energy = -5.94 eV per atom
relative energy among the computed polymorphs = 0.089 eV/atom

***

No. 5
The following is a DFT calculation (PBE) of MnSb2Br after structural relaxation.

The structure in CIF format:
```
data_MnSb2Br
_cell_length_a 6.377
_cell_length_b 6.377
_cell_length_c 7.684
_cell_angle_alpha 65.48
_cell_angle_beta 65.48
_cell_angle_gamma 90.00
_space_group_name_H-M_alt 'P 1'
_space_group_IT_number 1
loop_
_space_group_symop_operation_xyz
'x,y,z'
loop_
_atom_site_label
_atom_site_type_symbol
_atom_site_fract_x
_atom_site_fract_y
_atom_site_fract_z
Sb1 Sb 0.375 0.485 0.750
Sb2 Sb 0.235 0.625 0.250
Sb3 Sb 0.875 0.765 0.750
Sb4 Sb 0.515 0.125 0.250
Br1 Br 0.000 0.000 0.000
Br2 Br 0.750 0.250 0.500
Mn1 Mn 0.500 0.500 0.000
Mn2 Mn 0.250 0.750 0.500
```

Summary:
total magnetic moment = 0.000 μB/atom
formation energy from raw total energies = 37 kJ/mol of atoms
symmetry = No. 122
energy = -4.39 eV per atom
relative energy among the computed polymorphs = 0.479 eV/atom

***

No. 6
The following is a DFT calculation (PBE) of MnSbBr after structural relaxation.

The structure in CIF format:
```
data_MnSbBr
_cell_length_a 8.226
_cell_length_b 7.896
_cell_length_c 3.471
_cell_angle_alpha 82.95
_cell_angle_beta 72.29
_cell_angle_gamma 24.76
_space_group_name_H-M_alt 'P 1'
_space_group_IT_number 1
loop_
_space_group_symop_operation_xyz
'x,y,z'
loop_
_atom_site_label
_atom_site_type_symbol
_atom_site_fract_x
_atom_site_fract_y
_atom_site_fract_z
Sb1 Sb 0.292 0.292 0.708
Br1 Br 0.047 0.047 0.953
Mn1 Mn 0.661 0.661 0.339
```

Summary:
total magnetic moment = 1.256 μB/atom
formation energy from raw total energies = -6 kJ/mol of atoms
symmetry = No. 42
energy = -5.05 eV per atom
relative energy among the computed polymorphs = 0.126 eV/atom

***

No. 7
The following is a DFT calculation (PBE) of Mn2SbBr after structural relaxation.

The structure in CIF format:
```
data_Mn2SbBr
_cell_length_a 5.486
_cell_length_b 5.486
_cell_length_c 3.274
_cell_angle_alpha 74.27
_cell_angle_beta 74.27
_cell_angle_gamma 88.32
_space_group_name_H-M_alt 'P 1'
_space_group_IT_number 1
loop_
_space_group_symop_operation_xyz
'x,y,z'
loop_
_atom_site_label
_atom_site_type_symbol
_atom_site_fract_x
_atom_site_fract_y
_atom_site_fract_z
Mn1 Mn 0.000 0.000 0.000
Mn2 Mn 0.500 0.500 0.000
Sb1 Sb 0.500 0.000 0.500
Br1 Br 0.000 0.500 0.500
```

Summary:
total magnetic moment = 2.224 μB/atom
formation energy from raw total energies = 28 kJ/mol of atoms
symmetry = No. 12
energy = -5.75 eV per atom
relative energy among the computed polymorphs = 0.278 eV/atom

***

No. 8
The following is a DFT calculation (PBE) of MnSbBr2 after structural relaxation.

The structure in CIF format:
```
data_MnSbBr2
_cell_length_a 7.837
_cell_length_b 7.837
_cell_length_c 7.837
_cell_angle_alpha 153.72
_cell_angle_beta 138.80
_cell_angle_gamma 49.52
_space_group_name_H-M_alt 'P 1'
_space_group_IT_number 1
loop_
_space_group_symop_operation_xyz
'x,y,z'
loop_
_atom_site_label
_atom_site_type_symbol
_atom_site_fract_x
_atom_site_fract_y
_atom_site_fract_z
Sb1 Sb 0.381 0.881 0.500
Mn1 Mn 0.528 0.528 0.000
Br1 Br 0.651 0.151 0.500
Br2 Br 0.940 0.940 0.000
```

Summary:
total magnetic moment = 0.998 μB/atom
formation energy from raw total energies = -24 kJ/mol of atoms
symmetry = No. 44
energy = -4.40 eV per atom
relative energy among the computed polymorphs = 0.008 eV/atom

***

Among the records above, which one has the lowest energy?
number 4